This record from Alexandria describes a relaxed structure of Sm3Pu4Ru4. The functional is PBE.

abc: 3.312 10.108 8.548
angles: 126.24 101.17 90.00
Fractional positions:
1 Sm 0.112 0.112 0.223
2 Sm 0.888 0.888 0.777
3 Sm 0.000 0.500 0.000
4 Pu 0.310 0.089 0.619
5 Pu 0.690 0.470 0.381
6 Pu 0.690 0.911 0.381
7 Pu 0.310 0.530 0.619
8 Ru 0.208 0.708 0.417
9 Ru 0.792 0.292 0.583
10 Ru 0.500 0.770 0.000
11 Ru 0.500 0.230 0.000

volume: 20.4 Å³/atom
DFT total energy: -9.8509 eV per atom
total moment: 0.009 Bohr magnetons per cell
energy of formation from the pure elements: 0.5 kcal/mol of atoms

This record from Alexandria describes a relaxed structure of SmPuRu. The functional is PBE.

abc: 3.410 6.279 7.178
angles: 106.69 90.10 105.62
Last column: magnetic moment on the atom in μB.
Fractional positions:
1 Sm 0.423 0.786 0.576  0.12
2 Sm 0.703 0.342 0.720  0.12
3 Pu 0.420 0.778 0.086  5.21
4 Pu 0.706 0.351 0.210  5.21
5 Ru 0.055 0.047 0.924  -0.43
6 Ru 0.071 0.081 0.372  -0.43

volume: 23.5 Å³/atom
DFT total energy: -9.5246 eV per atom
total moment: 10.640 Bohr magnetons per cell
polymorph energy (0 for the lowest one): 0.0449 eV/atom
energy of formation from the pure elements: -1.9 kcal/mol of atoms

This record from Alexandria describes a relaxed structure of Sm2Pu2Ru3. The functional is PBE.

abc: 3.840 5.517 7.542
angles: 87.65 104.53 110.20
Fractional positions:
1 Sm 0.710 0.793 0.629
2 Sm 0.290 0.207 0.371
3 Pu 0.660 0.376 0.943
4 Pu 0.340 0.624 0.057
5 Ru 0.000 0.000 0.000
6 Ru 0.979 0.643 0.316
7 Ru 0.021 0.357 0.684

volume: 20.7 Å³/atom
DFT total energy: -9.4161 eV per atom
total moment: 0.000 Bohr magnetons per cell
polymorph energy (0 for the lowest one): 0.1806 eV/atom
energy of formation from the pure elements: 0.1 kcal/mol of atoms

This record from Alexandria describes a relaxed structure of SmPuRu. The functional is PBE.

abc: 3.373 6.770 6.264
angles: 109.21 105.62 90.00
Fractional positions:
1 Sm 0.519 0.271 0.037
2 Sm 0.481 0.729 0.963
3 Pu 0.777 0.904 0.553
4 Pu 0.223 0.096 0.447
5 Ru 0.186 0.593 0.371
6 Ru 0.814 0.407 0.629

volume: 21.6 Å³/atom
DFT total energy: -9.3734 eV per atom
total moment: 0.000 Bohr magnetons per cell
polymorph energy (0 for the lowest one): 0.1960 eV/atom
energy of formation from the pure elements: 1.6 kcal/mol of atoms

> What is the energy of formation from the pure elements in the first record?

0.5 kcal/mol of atoms